This record from the Alexandria database describes an optimized crystal structure of LaZrRu2. The functional is PBE.

a = 3.325 Å, b = 4.418 Å, c = 5.600 Å
α = 90.00°, β = 90.00°, γ = 90.00°
Space group Pmm2 (No. 25)
Asymmetric unit:
La 0.000 0.000 0.000 [1 per cell]
Zr 0.500 0.500 0.608 [1 per cell]
Ru 0.000 0.000 0.501 [1 per cell]
Ru 0.500 0.500 0.121 [1 per cell]

Values from the calculation:
Total DFT energy (no corrections): -7.94 eV/atom


This record from the Alexandria database describes an optimized crystal structure of Zn2GaBi. The functional is PBE.

a = 7.047 Å, b = 7.047 Å, c = 7.047 Å
α = 90.00°, β = 90.00°, γ = 90.00°
Space group Fm-3m (No. 225)
Asymmetric unit:
Zn 0.250 0.250 0.250 [8 per cell]
Ga 0.000 0.000 0.000 [4 per cell]
Bi 0.000 0.000 0.500 [4 per cell]

Values from the calculation:
Distance to the lowest polymorph of the same formula: 39 meV per atom
Total DFT energy (no corrections): -2.20 eV/atom


Result set for formation enthalpy at 0 K: 62.4, 163.2 meV/atom, one per record in the order listed.